The following is a GGA-PBE calculation of an optimized crystal structure of CoNi7Pt4, from the Alexandria database.

Unit cell a=5.224 b=5.825 c=5.840 alpha=72.86 beta=77.79 gamma=64.18
Positions (direct):
Co1 0.000 0.000 0.000
Ni1 0.090 0.162 0.324
Ni2 0.249 0.503 0.003
Ni3 0.327 0.678 0.321
Ni4 0.500 0.000 0.000
Ni5 0.673 0.322 0.679
Ni6 0.751 0.497 0.997
Ni7 0.910 0.838 0.676
Pt1 0.164 0.339 0.679
Pt2 0.410 0.823 0.675
Pt3 0.590 0.177 0.325
Pt4 0.836 0.661 0.321

## Properties
symmetry = P-1
total energy = -6.044 eV/atom
crystal system = triclinic